# CePmSm2Hg4 | the Alexandria database | PBE | relaxed
# final energy	-74.16	eV for the cell shown
# calculated formation energy	-3.4	eV/f.u.
# magnetization	7.9	μB/cell
data_CePmSm2Hg4
_chemical_formula_sum 'Ce3 Pm3 Sm6 Hg12'
_cell_length_a 5.3908
_cell_length_b 5.3908
_cell_length_c 26.3956
_cell_angle_alpha 90.00
_cell_angle_beta 90.00
_cell_angle_gamma 120.00
_symmetry_space_group_name_H-M 'R -3 m'
_symmetry_Int_Tables_number 166
_symmetry_space_group_name_Hall '-R 3 2"'
loop_
_atom_site_label
_atom_site_type_symbol
_atom_site_fract_x
_atom_site_fract_y
_atom_site_fract_z
_atom_site_occupancy
Ce1 Ce 0.0000 0.0000 0.0000 1
Pm1 Pm 0.0000 0.0000 0.5000 1
Sm1 Sm 0.0000 0.0000 0.2507 1
Hg1 Hg 0.0000 0.0000 0.1256 1
Hg2 Hg 0.0000 0.0000 0.3757 1